# 1
Compound: AlCrRuN2
Source: Alexandria
Functional: GGA-PBE
Structure: optimized geometry

Computed properties:
* E_tot: -6.913 eV per atom
* formation energy (no corrections): 91.3 kJ/mol of atoms

a b c (Å): 3.6192 3.6192 5.1699
angles (deg): 90.00 90.00 90.00
Space group P4/mmm (No. 123)
Asymmetric unit:
Al 0.0000 0.0000 0.0000 (multiplicity 1)
Cr 0.0000 0.0000 0.5000 (multiplicity 1)
Ru 0.5000 0.5000 0.0000 (multiplicity 1)
N 0.0000 0.5000 0.5000 (multiplicity 2)


# 2
Compound: Al2CrRuN
Source: Alexandria
Functional: GGA-PBE
Structure: optimized geometry

Computed properties:
* E_tot: -7.221 eV per atom
* formation energy (no corrections): -27.0 kJ/mol of atoms

a b c (Å): 4.0725 4.0725 3.6653
angles (deg): 90.00 90.00 90.00
Space group P4/mmm (No. 123)
Asymmetric unit:
Al 0.0000 0.5000 0.0000 (multiplicity 2)
Cr 0.0000 0.0000 0.5000 (multiplicity 1)
Ru 0.5000 0.5000 0.5000 (multiplicity 1)
N 0.0000 0.0000 0.0000 (multiplicity 1)


# 3
Compound: AlCrS2N
Source: Alexandria
Functional: GGA-PBE
Structure: optimized geometry

Computed properties:
* relative energy among the computed polymorphs: 0 meV per atom
* E_tot: -5.929 eV per atom
* formation energy (no corrections): 5.9 kJ/mol of atoms

a b c (Å): 4.6976 4.6976 3.5112
angles (deg): 90.00 90.00 90.00
Space group P4/mmm (No. 123)
Asymmetric unit:
Al 0.0000 0.0000 0.0000 (multiplicity 1)
Cr 0.5000 0.5000 0.5000 (multiplicity 1)
S 0.0000 0.5000 0.5000 (multiplicity 2)
N 0.5000 0.5000 0.0000 (multiplicity 1)


# 4
Compound: AlCrS2N
Source: Alexandria
Functional: GGA-PBE
Structure: optimized geometry

Computed properties:
* relative energy among the computed polymorphs: 592 meV per atom
* E_tot: -5.337 eV per atom
* formation energy (no corrections): 63.0 kJ/mol of atoms

a b c (Å): 4.6706 4.6706 3.5653
angles (deg): 90.00 90.00 90.00
Space group P4/mmm (No. 123)
Asymmetric unit:
Al 0.0000 0.0000 0.0000 (multiplicity 1)
Cr 0.5000 0.5000 0.5000 (multiplicity 1)
S 0.0000 0.5000 0.0000 (multiplicity 2)
N 0.0000 0.0000 0.5000 (multiplicity 1)